Material: KBeWO5
Method: DFT, GGA+U
State: relaxed

Cell and atoms, written as CIF:
```
data_KBeWO5
_chemical_formula_sum 'K4 Be4 W4 O20'
_space_group_name_H-M_alt 'C 1 2/c 1'
_space_group_IT_number 15
_space_group_name_Hall '-C 2yc'
_cell_length_a 6.958
_cell_length_b 9.037
_cell_length_c 7.487
_cell_angle_alpha 90.00
_cell_angle_beta 117.28
_cell_angle_gamma 90.00
loop_
_atom_site_label
_atom_site_fract_x
_atom_site_fract_y
_atom_site_fract_z
K1 0.000 0.168 0.250
Be1 0.000 0.190 0.750
W1 0.000 0.500 0.000
O1 0.000 0.442 0.250
O2 0.070 0.301 0.609
O3 0.204 0.075 0.887
```

Output
DOS(E_F): 0.41 states/eV per atom
VASP energy: -207.71 eV/cell
Mass density: 4.95 Mg/m³